Density functional theory data (GGA-PBE) for crystalline Pu3PaIn12 at its relaxed geometry.

Structure (POSCAR):
```
Pu3PaIn12
1.0
4.658 0.000 0.000
0.000 4.658 0.000
0.000 0.000 18.583
Pu Pa In
3 1 12
Direct
0.000 0.000 0.000
0.000 0.000 0.250
0.000 0.000 0.750
0.000 0.000 0.500
0.000 0.500 0.125
0.000 0.500 0.375
0.000 0.500 0.625
0.000 0.500 0.875
0.500 0.000 0.125
0.500 0.000 0.375
0.500 0.000 0.625
0.500 0.000 0.875
0.500 0.500 0.000
0.500 0.500 0.250
0.500 0.500 0.500
0.500 0.500 0.750
```

Total DFT energy (no corrections): -88.549 eV per cell
Space-group type: No. 123